# 1
Computed, not measured: a relaxed Tl3NiPd crystal at the PBE level of DFT.

Computed properties:
The energy above the most stable polymorph in this dataset comes out at 0 meV per atom. For the volume, the calculation gives 25.30 A^3/atom. As for the calculated density: 10.22 g/cm³. The calculation puts the density of states at the Fermi level at 0.55 states/eV/atom. The energy relative to the elements comes out at 0.32 eV/atom. As for the space group: Pm-3m (221).

Cell lengths 5.020, 5.020, 5.020 Å; angles 90.00, 90.00, 90.00 degrees
Fractional positions:
Pd1 0.500 0.500 0.500
Tl1 0.500 0.000 0.000
Tl2 0.000 0.000 0.500
Tl3 0.000 0.500 0.000
Ni1 0.000 0.000 0.000

# 2
Computed, not measured: a relaxed TlNiPd2 crystal at the PBE level of DFT.

Computed properties:
For the volume, the calculation gives 17.51 A^3/atom. As for the calculated density: 11.28 g/cm³. The calculation puts the density of states at the Fermi level at 1.59 states/eV/atom. The energy relative to the elements comes out at 0.24 eV/atom. As for the space group: I-42d (122).

Cell lengths 3.847, 3.847, 9.850 Å; angles 78.74, 78.74, 90.00 degrees
Fractional positions:
Ni1 0.500 0.500 0.000
Ni2 0.250 0.750 0.500
Pd1 0.612 0.125 0.250
Pd2 0.875 0.862 0.750
Pd3 0.375 0.388 0.750
Pd4 0.138 0.625 0.250
Tl1 0.000 0.000 0.000
Tl2 0.750 0.250 0.500

# 3
Computed, not measured: a relaxed TmTlNiPd crystal at the PBE level of DFT.

Computed properties:
For the volume, the calculation gives 18.54 A^3/atom. As for the calculated density: 12.05 g/cm³. The calculation puts the density of states at the Fermi level at 0.66 states/eV/atom. The energy relative to the elements comes out at -0.42 eV/atom. As for the space group: F-43m (216).

Cell lengths 4.716, 4.716, 4.716 Å; angles 60.00, 60.00, 60.00 degrees
Fractional positions:
Tm1 0.000 0.000 0.000
Pd1 0.750 0.750 0.750
Tl1 0.500 0.500 0.500
Ni1 0.250 0.250 0.250

# 4
Computed, not measured: a relaxed YTlNiPd crystal at the PBE level of DFT.

Computed properties:
For the volume, the calculation gives 19.09 A^3/atom. As for the calculated density: 9.97 g/cm³. The calculation puts the density of states at the Fermi level at 0.82 states/eV/atom. The energy relative to the elements comes out at -0.40 eV/atom. As for the space group: F-43m (216).

Cell lengths 4.762, 4.762, 4.762 Å; angles 60.00, 60.00, 60.00 degrees
Fractional positions:
Y1 0.750 0.750 0.750
Pd1 0.000 0.000 0.000
Ni1 0.500 0.500 0.500
Tl1 0.250 0.250 0.250

# 5
Computed, not measured: a relaxed YTl2NiPd crystal at the PBE level of DFT.

Computed properties:
For the volume, the calculation gives 24.45 A^3/atom. As for the calculated density: 9.00 g/cm³. The calculation puts the density of states at the Fermi level at 0.48 states/eV/atom. The energy relative to the elements comes out at 0.03 eV/atom. As for the space group: P4/mmm (123).

Cell lengths 4.920, 5.050, 4.920 Å; angles 90.00, 90.00, 90.00 degrees
Fractional positions:
Ni1 0.000 0.000 0.000
Tl1 0.000 0.000 0.500
Tl2 0.500 0.000 0.000
Y1 0.000 0.500 0.000
Pd1 0.500 0.500 0.500

# 6
Computed, not measured: a relaxed TlZn2NiPd crystal at the PBE level of DFT.

Computed properties:
For the volume, the calculation gives 22.31 A^3/atom. As for the calculated density: 7.45 g/cm³. The calculation puts the density of states at the Fermi level at 0.88 states/eV/atom. The energy relative to the elements comes out at 0.36 eV/atom. As for the space group: P4/mmm (123).

Cell lengths 4.815, 4.811, 4.815 Å; angles 90.00, 90.00, 90.00 degrees
Fractional positions:
Zn1 0.500 0.000 0.000
Zn2 0.000 0.000 0.500
Ni1 0.000 0.500 0.000
Pd1 0.000 0.000 0.000
Tl1 0.500 0.500 0.500